No. 1
Here is a geometry-optimized CsCeCrS4 structure from Alexandria via LeMat-Bulk. Energies are from PBE-GGA.

Unit cell a=7.6547 b=8.0372 c=9.1445 alpha=124.67 beta=90.00 gamma=118.44
With the nearest neighbours (Å) after each atom.
Fractional positions:
S  0.2627  0.9549  0.7275  1 Cr 2.47
S  0.7490  0.4979  0.3320  2 Cr 2.45
S  0.7490  0.4979  0.6660  2 Cr 2.45
S  0.7373  0.0451  0.2725  1 Cr 2.47
S  0.2510  0.5021  0.6680  2 Cr 2.45
S  0.2510  0.5021  0.3340  2 Cr 2.45
S  0.3078  0.0451  0.2725  1 Cr 2.47
S  0.6922  0.9549  0.7275  1 Cr 2.47
Cs  0.8157  0.6314  0.0657  4 S 3.12-3.13
Cs  0.1843  0.3686  0.9343  4 S 3.12-3.13
Ce  0.5000  0.0000  0.0000  6 S 2.79-2.83
Ce  0.5000  0.0000  0.5000  6 S 2.79-2.83
Cr  0.5000  0.5000  0.5000  6 S 2.45-2.47
Cr  0.0000  0.5000  0.5000  6 S 2.45-2.47

- calculated volume (Å³/f.u.) = 188.6
- N(E_F) (states/eV per cell) = 3.73
- energy relative to the elements, uncorrected (meV/atom) = -1116
- final energy (eV/f.u.) = -40.736

No. 2
Here is a geometry-optimized Cs2Ce2CrSe6 structure from Alexandria via LeMat-Bulk. Energies are from PBE-GGA.

Unit cell a=7.1192 b=7.1192 c=8.8961 alpha=98.24 beta=98.24 gamma=119.19
With the nearest neighbours (Å) after each atom.
Fractional positions:
Se  0.6334  0.9353  0.3222  1 Cr 2.64, 2 Ce 2.92-2.93
Se  0.2385  0.2385  0.3248  1 Cr 2.63, 2 Ce 2.92
Se  0.0647  0.3666  0.6778  1 Cr 2.64, 2 Ce 2.92-2.93
Se  0.7615  0.7615  0.6752  1 Cr 2.63, 2 Ce 2.92
Se  0.9353  0.6334  0.3222  1 Cr 2.64, 2 Ce 2.92-2.93
Se  0.3666  0.0647  0.6778  1 Cr 2.64, 2 Ce 2.92-2.93
Ce  0.3327  0.6673  0.5000  6 Se 2.92-2.93
Ce  0.6673  0.3327  0.5000  6 Se 2.92-2.93
Cs  0.8273  0.1727  0.0000  6 Se 3.60-3.71
Cs  0.1727  0.8273  0.0000  6 Se 3.60-3.71
Cr  0.0000  0.0000  0.5000  6 Se 2.63-2.64

- calculated volume (Å³/f.u.) = 377.5
- N(E_F) (states/eV per cell) = 6.67
- energy relative to the elements, uncorrected (meV/atom) = -1346
- final energy (eV/f.u.) = -58.909